1.
Material: SrCe2Tl3
Method: DFT, PBE
State: relaxed

Lattice parameters (Å, degrees): 3.6165 3.6165 13.8612 90.00 90.00 90.00
With the nearest neighbours (Å) after each atom.
Positions (direct):
Sr  0.0000  0.0000  0.0000  8 Tl 3.53, 4 Sr 3.62
Ce  0.0000  0.0000  0.3372  8 Tl 3.40-3.41, 4 Ce 3.62
Ce  0.0000  0.0000  0.6628  8 Tl 3.40-3.41, 4 Ce 3.62
Tl  0.5000  0.5000  0.1754  4 Ce 3.40, 4 Sr 3.53, 4 Tl 3.62
Tl  0.5000  0.5000  0.5000  8 Ce 3.41, 4 Tl 3.62
Tl  0.5000  0.5000  0.8246  4 Ce 3.40, 4 Sr 3.53, 4 Tl 3.62

Calculated values
Calculated formation energy   -0.27 eV/atom
N(E_F)   15.34 states/eV/f.u.
Space-group type   P4/mmm, No. 123

---

2.
Material: MgAgPt2
Method: DFT, PBE
State: relaxed

Lattice parameters (Å, degrees): 4.8947 4.8947 4.8947 130.89 130.89 71.99
With the nearest neighbours (Å) after each atom.
Positions (direct):
Mg  0.0000  0.0000  0.0000  8 Pt 2.84-2.88, 4 Ag 2.84
Ag  0.7500  0.2500  0.5000  4 Mg 2.84, 8 Pt 2.84-2.88
Pt  0.2500  0.7500  0.5000  4 Mg 2.84, 4 Pt 2.84, 4 Ag 2.88
Pt  0.5000  0.5000  0.0000  4 Pt 2.84, 4 Ag 2.84, 4 Mg 2.88

Calculated values
Calculated formation energy   -0.39 eV/atom
N(E_F)   2.83 states/eV/f.u.
Space-group type   I-4m2, No. 119

---

3.
Material: AcLaZnCd
Method: DFT, PBE
State: relaxed

Lattice parameters (Å, degrees): 3.9094 3.9094 7.8720 90.00 90.00 90.00
With the nearest neighbours (Å) after each atom.
Positions (direct):
Ac  0.0000  0.0000  0.0000  4 Zn 3.38, 4 Cd 3.55, 1 La 3.64
La  0.0000  0.0000  0.4626  4 Zn 3.24, 4 Cd 3.42
Zn  0.5000  0.5000  0.2474  4 La 3.24, 4 Ac 3.38
Cd  0.5000  0.5000  0.7180  4 La 3.42, 4 Ac 3.55, 1 Zn 3.70

Calculated values
Offset from the most stable computed form   0 meV per atom
Calculated formation energy   -0.30 eV/atom
N(E_F)   4.14 states/eV/f.u.
Space-group type   P4mm, No. 99

---

4.
Material: Nd2UPbO8
Method: DFT, PBE
State: relaxed

Lattice parameters (Å, degrees): 3.8378 5.5137 8.0494 84.42 89.60 87.41
With the nearest neighbours (Å) after each atom.
Positions (direct):
Nd  0.0039  0.0153  0.2496  8 O 2.41-2.58
Nd  0.9961  0.9847  0.7504  8 O 2.41-2.58
U  0.5000  0.5000  0.5000  4 O 2.01-2.16
Pb  0.5000  0.5000  0.0000  4 O 2.20-2.23
O  0.0268  0.7228  0.5195  1 U 2.16
O  0.0290  0.7446  0.0257  1 Pb 2.23, 2 Nd 2.45-2.47
O  0.4782  0.2475  0.6971  1 U 2.01
O  0.4830  0.2863  0.2446  1 Pb 2.20, 2 Nd 2.42-2.44
O  0.5170  0.7137  0.7554  1 Pb 2.20, 2 Nd 2.42-2.44
O  0.5218  0.7525  0.3029  1 U 2.01
O  0.9710  0.2554  0.9743  1 Pb 2.23, 2 Nd 2.45-2.47
O  0.9732  0.2772  0.4805  1 U 2.16

Calculated values
Uncorrected formation energy   -2.68 eV/atom
Space-group type   P-1, No. 2

---

5.
Material: Ni2AgPt2
Method: DFT, PBE
State: relaxed

Lattice parameters (Å, degrees): 7.3436 7.3436 2.7344 90.00 90.00 90.00
With the nearest neighbours (Å) after each atom.
Positions (direct):
Ni  0.1198  0.3802  0.0000  3 Ni 2.49-2.73, 6 Pt 2.53-2.59
Ni  0.3802  0.8802  0.0000  3 Ni 2.49-2.73, 6 Pt 2.53-2.59
Ni  0.6198  0.1198  0.0000  3 Ni 2.49-2.73, 6 Pt 2.53-2.59
Ni  0.8802  0.6198  0.0000  3 Ni 2.49-2.73, 6 Pt 2.53-2.59
Ag  0.0000  0.0000  0.0000  2 Ag 2.73, 4 Ni 2.93, 8 Pt 3.04
Ag  0.5000  0.5000  0.0000  2 Ag 2.73, 4 Ni 2.93, 8 Pt 3.04
Pt  0.1749  0.6749  0.5000  6 Ni 2.53-2.59, 2 Pt 2.73
Pt  0.3251  0.1749  0.5000  6 Ni 2.53-2.59, 2 Pt 2.73
Pt  0.6749  0.8251  0.5000  6 Ni 2.53-2.59, 2 Pt 2.73
Pt  0.8251  0.3251  0.5000  6 Ni 2.53-2.59, 2 Pt 2.73

Calculated values
Offset from the most stable computed form   0 meV per atom
Calculated formation energy   0.06 eV/atom
N(E_F)   6.38 states/eV/f.u.
Space-group type   P4/mbm, No. 127

---

What magnetization values result from the calculations? In sequence: 2.43, 0.00, 0.00, 0.00, 3.83 Bohr magnetons per cell.